Here is crystalline La2CeAs3 at its relaxed geometry from Alexandria. Energies are from PBE.

**Crystal system**: tetragonal
**Calculated volume**: 171.3 Å³/cell
**Space-group type**: I4/mmm (139)
**Energy relative to the lowest polymorph listed for this composition**: 14 meV/atom

Unit cell a=9.6536 b=9.6536 c=9.6536 alpha=154.11 beta=154.11 gamma=36.94
Fractional coordinates of all 6 atoms:
La: 0.3331 0.3331 0.0000
La: 0.6669 0.6669 0.0000
As: 0.8369 0.8369 0.0000
As: 0.5000 0.5000 0.0000
As: 0.1631 0.1631 0.0000
Ce: 0.0000 0.0000 0.0000